No. 1
Computed, not measured: crystalline CuMo3 at its relaxed geometry at the PBE-GGA level of DFT.

The value obtained for the total DFT energy (no corrections) is -0.3286 hartree per atom. As for the space-group type: No. 63. As for the mass density: 9.74 g/cm3.

a b c (Å): 5.425 5.425 4.481
angles (deg): 90.00 90.00 114.65
Atoms (fractional coordinates):
Mo1 0.658 0.855 0.750
Cu1 0.160 0.840 0.750
Mo2 0.361 0.639 0.250
Mo3 0.342 0.145 0.250
Mo4 0.145 0.342 0.750
Mo5 0.639 0.361 0.750
Mo6 0.855 0.658 0.250
Cu2 0.840 0.160 0.250


No. 2
Computed, not measured: crystalline CuMo3 at its relaxed geometry at the PBE-GGA level of DFT.

The value obtained for the total DFT energy (no corrections) is -0.3279 hartree per atom. As for the space-group type: No. 139. As for the mass density: 9.77 g/cm3.

a b c (Å): 8.166 8.166 8.166
angles (deg): 152.04 152.04 39.96
Atoms (fractional coordinates):
Mo1 0.500 0.000 0.500
Cu1 0.375 0.375 0.000
Mo2 0.750 0.250 0.500
Mo3 0.878 0.878 0.000
Cu2 0.625 0.625 0.000
Mo4 0.250 0.750 0.500
Mo5 0.122 0.122 0.000
Mo6 0.000 0.500 0.500


No. 3
Computed, not measured: crystalline CuMo at its relaxed geometry at the PBE-GGA level of DFT.

The value obtained for the total DFT energy (no corrections) is -0.2015 hartree per atom. As for the space-group type: No. 216. As for the mass density: 6.62 g/cm3.

a b c (Å): 3.840 3.840 3.840
angles (deg): 60.00 60.00 60.00
Atoms (fractional coordinates):
Cu1 0.000 0.000 0.000
Mo1 0.750 0.750 0.750


Q: Which of these has the highest total DFT energy (no corrections)?
A: CuMo


Q: The highest mass density belongs to which entry?
A: number 2